(1)
DFT (GGA-PBE) results for a relaxed Sr2NiSe crystal.

Unit cell a=7.7413 b=7.7413 c=7.7413 alpha=32.55 beta=32.55 gamma=32.55
With the nearest neighbours (Å) after each atom.
Positions (direct):
Sr 0.2495 0.2495 0.2495  3 Ni 3.10, 3 Se 3.11
Sr 0.7505 0.7505 0.7505  3 Ni 3.10, 3 Se 3.11
Ni 0.5000 0.5000 0.5000  6 Sr 3.10
Se 0.0000 0.0000 0.0000  6 Sr 3.11

As for the space group: R-3m (166). Its uncorrected energy is -15.8 eV per formula unit.

(2)
DFT (GGA-PBE) results for a relaxed Sm2Ga4CoPt3 crystal.

Unit cell a=4.1686 b=4.1686 c=10.7013 alpha=90.00 beta=90.00 gamma=90.00
With the nearest neighbours (Å) after each atom.
Positions (direct):
Sm 0.0000 0.5000 0.2420  8 Ga 3.20-3.46, 6 Pt 3.21-3.32, 2 Co 3.32
Sm 0.5000 0.0000 0.7580  8 Ga 3.20-3.46, 6 Pt 3.21-3.32, 2 Co 3.32
Ga 0.0000 0.0000 0.5000  4 Pt 2.57
Ga 0.0000 0.5000 0.8752  2 Co 2.48, 3 Pt 2.48-2.52
Ga 0.5000 0.0000 0.1248  2 Co 2.48, 3 Pt 2.48-2.52
Ga 0.5000 0.5000 0.5000  4 Pt 2.57
Co 0.5000 0.5000 0.0000  4 Ga 2.48
Pt 0.0000 0.0000 0.0000  4 Ga 2.48
Pt 0.0000 0.5000 0.6397  5 Ga 2.52-2.57
Pt 0.5000 0.0000 0.3603  5 Ga 2.52-2.57

The calculation puts the formation energy at -0.832 eV/atom. As for the space group: P-4m2 (115). Its uncorrected energy is -55.1 eV per formula unit.

(3)
DFT (GGA-PBE) results for a relaxed LaMnIn2 crystal.

Unit cell a=10.5141 b=10.5141 c=10.5141 alpha=18.49 beta=18.49 gamma=18.49
With the nearest neighbours (Å) after each atom.
Positions (direct):
La 0.0000 0.0000 0.0000  3 Mn 3.22, 6 La 3.38, 3 In 3.53
Mn 0.7493 0.7493 0.7493  3 In 2.96, 3 La 3.22
In 0.2385 0.2385 0.2385  9 In 3.26-3.38, 3 La 3.53
In 0.4877 0.4877 0.4877  3 Mn 2.96, 3 In 3.26

The calculation puts the formation energy at 0.210 eV/atom. As for the space group: R3m (160). Its uncorrected energy is -18.7 eV per formula unit.

(4)
DFT (GGA-PBE) results for a relaxed LiCa3Pr2Se6 crystal.

Unit cell a=7.2825 b=7.2825 c=7.3106 alpha=99.58 beta=99.58 gamma=119.98
With the nearest neighbours (Å) after each atom.
Positions (direct):
Li 0.0000 0.0000 0.0000  6 Se 2.95
Ca 0.1672 0.8328 0.5000  6 Se 2.96-3.00
Ca 0.5000 0.5000 0.5000  6 Se 2.96-3.01
Ca 0.8328 0.1672 0.5000  6 Se 2.96-3.00
Pr 0.3336 0.6664 0.0000  6 Se 2.99-3.00
Pr 0.6664 0.3336 0.0000  6 Se 2.99-3.00
Se 0.0835 0.4115 0.2507  1 Li 2.95, 3 Ca 2.96-3.00, 2 Pr 3.00
Se 0.2443 0.2443 0.7493  1 Li 2.95, 3 Ca 2.96-3.01, 2 Pr 2.99
Se 0.4115 0.0835 0.2507  1 Li 2.95, 3 Ca 2.96-3.00, 2 Pr 3.00
Se 0.5885 0.9165 0.7493  1 Li 2.95, 3 Ca 2.96-3.00, 2 Pr 3.00
Se 0.7557 0.7557 0.2507  1 Li 2.95, 3 Ca 2.96-3.01, 2 Pr 2.99
Se 0.9165 0.5885 0.7493  1 Li 2.95, 3 Ca 2.96-3.00, 2 Pr 3.00

As for the space group: C2/m (12). Its uncorrected energy is -60.7 eV per formula unit.

(5)
DFT (GGA-PBE) results for a relaxed VTc2HIr crystal.

Unit cell a=4.7564 b=4.7564 c=4.7609 alpha=90.00 beta=90.00 gamma=90.00
With the nearest neighbours (Å) after each atom.
Positions (direct):
V 0.0000 0.0000 0.0000  2 Ir 2.38
Tc 0.0000 0.5000 0.5000  2 Ir 2.38
Tc 0.5000 0.0000 0.5000  2 Ir 2.38
H 0.5000 0.5000 0.0000  4 V 3.36, 8 Tc 3.36
Ir 0.0000 0.0000 0.5000  4 Tc 2.38, 2 V 2.38

As for the space group: P4/mmm (123). Its uncorrected energy is -32.1 eV per formula unit. For the excess energy over the best structure of this formula in the dataset, the calculation gives 208.0 kJ per mole of atoms.

(6)
DFT (GGA-PBE) results for a relaxed AsPIrBr2 crystal.

Unit cell a=4.8108 b=4.8108 c=5.0676 alpha=90.00 beta=90.00 gamma=90.00
With the nearest neighbours (Å) after each atom.
Positions (direct):
As 0.0000 0.0000 0.0000  2 P 2.53
P 0.0000 0.0000 0.5000  4 Br 2.41, 2 As 2.53
Ir 0.5000 0.5000 0.0000  4 As 3.40, 8 Br 3.49
Br 0.0000 0.5000 0.5000  2 P 2.41
Br 0.5000 0.0000 0.5000  2 P 2.41

As for the space group: P4/mmm (123). Its uncorrected energy is -15.7 eV per formula unit. For the excess energy over the best structure of this formula in the dataset, the calculation gives 43.1 kJ per mole of atoms.

(7)
DFT (GGA-PBE) results for a relaxed NiOsPb crystal.

Unit cell a=3.0313 b=3.0313 c=6.4514 alpha=90.00 beta=90.00 gamma=120.00
With the nearest neighbours (Å) after each atom.
Positions (direct):
Ni 0.0000 0.0000 0.0000  3 Os 2.52
Os 0.6667 0.3333 0.2810  3 Ni 2.52
Pb 0.3333 0.6667 0.6508  3 Ni 2.85, 3 Os 2.96, 6 Pb 3.03

The calculation puts the formation energy at 0.830 eV/atom. As for the space group: P3m1 (156). Its uncorrected energy is -18.2 eV per formula unit. For the excess energy over the best structure of this formula in the dataset, the calculation gives 8.3 kJ per mole of atoms.

(8)
DFT (GGA-PBE) results for a relaxed Na2Ti2As crystal.

Unit cell a=10.5273 b=10.5273 c=10.5273 alpha=161.06 beta=161.06 gamma=26.91
With the nearest neighbours (Å) after each atom.
Positions (direct):
Na 0.0961 0.0961 0.0000  4 As 3.14, 4 Na 3.46
Na 0.9039 0.9039 0.0000  4 As 3.14, 4 Na 3.46
Ti 0.2500 0.7500 0.5000  4 Ti 2.45
Ti 0.7500 0.2500 0.5000  4 Ti 2.45
As 0.5000 0.5000 0.0000  8 Na 3.14, 4 As 3.46

The calculation puts the formation energy at 0.481 eV/atom. As for the space group: I4/mmm (139). Its uncorrected energy is -20.7 eV per formula unit. For the excess energy over the best structure of this formula in the dataset, the calculation gives 0.0 kJ per mole of atoms.